# CdIn2Re | Alexandria via LeMat-Bulk | PBE | optimized geometry
data_CdIn2Re
_chemical_formula_sum 'Cd1 In2 Re1'
_cell_length_a 3.038
_cell_length_b 4.285
_cell_length_c 6.081
_cell_angle_alpha 90.00
_cell_angle_beta 90.00
_cell_angle_gamma 90.00
_space_group_name_H-M_alt 'P m m m'
_space_group_IT_number 47
_space_group_name_Hall '-P 2 2'
loop_
_atom_site_label
_atom_site_type_symbol
_atom_site_fract_x
_atom_site_fract_y
_atom_site_fract_z
_atom_site_occupancy
Cd1 Cd 0.000 0.000 0.000 1
In1 In 0.500 0.500 0.266 1
Re1 Re 0.000 0.000 0.500 1
# Calculated formation energy = 0.53 eV/atom
# Total magnetization = 0.00 Bohr magnetons per cell
# E = -16.7 eV/cell



# ZnGa2Cu7Ge2 | Alexandria via LeMat-Bulk | PBE | optimized geometry
data_ZnGa2Cu7Ge2
_chemical_formula_sum 'Zn2 Ga4 Cu14 Ge4'
_cell_length_a 5.372
_cell_length_b 5.544
_cell_length_c 11.419
_cell_angle_alpha 90.00
_cell_angle_beta 90.00
_cell_angle_gamma 90.00
_space_group_name_H-M_alt 'C m m m'
_space_group_IT_number 65
_space_group_name_Hall '-C 2 2'
loop_
_atom_site_label
_atom_site_type_symbol
_atom_site_fract_x
_atom_site_fract_y
_atom_site_fract_z
_atom_site_occupancy
Zn1 Zn 0.000 0.000 0.000 1
Ga1 Ga 0.000 0.000 0.314 1
Cu1 Cu 0.000 0.500 0.000 1
Cu2 Cu 0.249 0.500 0.500 1
Cu3 Cu 0.250 0.250 0.155 1
Ge1 Ge 0.000 0.500 0.311 1
# Calculated formation energy = 0.04 eV/atom
# Total magnetization = 0.00 Bohr magnetons per cell
# E = -89.5 eV/cell



# DyHo7Sc2 | Alexandria via LeMat-Bulk | PBE | optimized geometry
data_DyHo7Sc2
_chemical_formula_sum 'Dy2 Ho14 Sc4'
_cell_length_a 8.732
_cell_length_b 15.095
_cell_length_c 5.519
_cell_angle_alpha 90.00
_cell_angle_beta 90.00
_cell_angle_gamma 90.00
_space_group_name_H-M_alt 'C m m m'
_space_group_IT_number 65
_space_group_name_Hall '-C 2 2'
loop_
_atom_site_label
_atom_site_type_symbol
_atom_site_fract_x
_atom_site_fract_y
_atom_site_fract_z
_atom_site_occupancy
Dy1 Dy 0.000 0.000 0.000 1
Ho1 Ho 0.000 0.238 0.000 1
Ho2 Ho 0.000 0.500 0.500 1
Ho3 Ho 0.181 0.120 0.500 1
Sc1 Sc 0.000 0.295 0.500 1
# Calculated formation energy = 0.67 eV/atom
# Total magnetization = 0.00 Bohr magnetons per cell
# E = -85.3 eV/cell



Look up the total magnetization of the second one.
0.00 Bohr magnetons per cell